[1]
# MoRhSe (GGA-PBEsol, relaxed)
data_MoRhSe
_cell_length_a 4.193
_cell_length_b 4.193
_cell_length_c 4.193
_cell_angle_alpha 60.00
_cell_angle_beta 60.00
_cell_angle_gamma 60.00
_symmetry_space_group_name_H-M 'P 1'
_symmetry_Int_Tables_number 1
loop_
_symmetry_equiv_pos_as_xyz
'x,y,z'
loop_
_atom_site_label
_atom_site_fract_x
_atom_site_fract_y
_atom_site_fract_z
Mo1 0.000 0.000 0.000
Rh1 0.250 0.250 0.250
Se1 0.500 0.500 0.500
# D(E_F) = 1.09 states/eV/atom
# Calculated density = 8.8 g/cm³
# Formation energy (no corrections) = 0.414 eV/atom

=====

[2]
# SiMoRh2 (GGA-PBEsol, relaxed)
data_SiMoRh2
_cell_length_a 8.511
_cell_length_b 8.511
_cell_length_c 8.511
_cell_angle_alpha 18.60
_cell_angle_beta 18.60
_cell_angle_gamma 18.60
_symmetry_space_group_name_H-M 'P 1'
_symmetry_Int_Tables_number 1
loop_
_symmetry_equiv_pos_as_xyz
'x,y,z'
loop_
_atom_site_label
_atom_site_fract_x
_atom_site_fract_y
_atom_site_fract_z
Si1 0.000 0.000 0.000
Mo1 0.249 0.249 0.249
Rh1 0.498 0.498 0.498
Rh2 0.739 0.739 0.739
# D(E_F) = 0.80 states/eV/atom
# Calculated density = 10.0 g/cm³
# Formation energy (no corrections) = -0.272 eV/atom

=====

Copy entry 2 word for word.
# SiMoRh2 (GGA-PBEsol, relaxed)
data_SiMoRh2
_cell_length_a 8.511
_cell_length_b 8.511
_cell_length_c 8.511
_cell_angle_alpha 18.60
_cell_angle_beta 18.60
_cell_angle_gamma 18.60
_symmetry_space_group_name_H-M 'P 1'
_symmetry_Int_Tables_number 1
loop_
_symmetry_equiv_pos_as_xyz
'x,y,z'
loop_
_atom_site_label
_atom_site_fract_x
_atom_site_fract_y
_atom_site_fract_z
Si1 0.000 0.000 0.000
Mo1 0.249 0.249 0.249
Rh1 0.498 0.498 0.498
Rh2 0.739 0.739 0.739
# D(E_F) = 0.80 states/eV/atom
# Calculated density = 10.0 g/cm³
# Formation energy (no corrections) = -0.272 eV/atom

=====

- Which formula does entry 2 have?
  SiMoRh2

=====

- Number 1 is which compound?
  MoRhSe

=====

Repeat the second record exactly.
# SiMoRh2 (GGA-PBEsol, relaxed)
data_SiMoRh2
_cell_length_a 8.511
_cell_length_b 8.511
_cell_length_c 8.511
_cell_angle_alpha 18.60
_cell_angle_beta 18.60
_cell_angle_gamma 18.60
_symmetry_space_group_name_H-M 'P 1'
_symmetry_Int_Tables_number 1
loop_
_symmetry_equiv_pos_as_xyz
'x,y,z'
loop_
_atom_site_label
_atom_site_fract_x
_atom_site_fract_y
_atom_site_fract_z
Si1 0.000 0.000 0.000
Mo1 0.249 0.249 0.249
Rh1 0.498 0.498 0.498
Rh2 0.739 0.739 0.739
# D(E_F) = 0.80 states/eV/atom
# Calculated density = 10.0 g/cm³
# Formation energy (no corrections) = -0.272 eV/atom